Density functional theory data (PBE-GGA) for RbTcBi after structural relaxation.

a b c (Å): 3.6019 3.6019 13.7224
angles (deg): 90.00 90.00 90.00
With the nearest neighbours (Å) after each atom.
Fractional positions:
1 Tc 0.0000 0.0000 0.0363  4 Bi 2.79
2 Rb 0.0000 0.0000 0.7356  4 Rb 3.60, 4 Tc 3.74, 5 Bi 3.88-3.92
3 Bi 0.0000 0.0000 0.4526  4 Tc 2.79
4 Rb 0.5000 0.5000 0.2356  4 Rb 3.60, 4 Tc 3.74, 5 Bi 3.88-3.92
5 Bi 0.5000 0.5000 0.9526  4 Tc 2.79
6 Tc 0.5000 0.5000 0.5363  4 Bi 2.79

Calculated values
ΔH_f (0 K) in kJ/mol of atoms: 63.02
E above lowest polymorph in meV/atom: 513.3



Density functional theory data (PBE-GGA) for RbTcBi3 after structural relaxation.

a b c (Å): 5.5134 5.5134 5.5134
angles (deg): 90.00 90.00 90.00
With the nearest neighbours (Å) after each atom.
Fractional positions:
1 Tc 0.0000 0.0000 0.0000  6 Bi 2.76
2 Bi 0.5000 0.0000 0.0000  2 Tc 2.76
3 Bi 0.0000 0.5000 0.0000  2 Tc 2.76
4 Rb 0.5000 0.5000 0.5000  12 Bi 3.90
5 Bi 0.0000 0.0000 0.5000  2 Tc 2.76

Calculated values
ΔH_f (0 K) in kJ/mol of atoms: 31.01
E above lowest polymorph in meV/atom: 0.0



Density functional theory data (PBE-GGA) for RbTcBi after structural relaxation.

a b c (Å): 3.2880 4.4162 6.6212
angles (deg): 90.00 90.25 90.00
With the nearest neighbours (Å) after each atom.
Fractional positions:
1 Rb 0.5000 0.0000 0.5000  2 Rb 3.29
2 Tc 0.0000 0.0000 0.0000  4 Bi 2.75
3 Bi 0.5000 0.5000 0.0000  4 Tc 2.75

Calculated values
ΔH_f (0 K) in kJ/mol of atoms: 65.18
E above lowest polymorph in meV/atom: 535.7



Density functional theory data (PBE-GGA) for RbTcBi after structural relaxation.

a b c (Å): 6.9876 3.6427 17.4002
angles (deg): 90.00 105.95 90.00
With the nearest neighbours (Å) after each atom.
Fractional positions:
1 Bi 0.3238 0.5000 0.6013  3 Tc 2.90-2.98
2 Rb 0.1778 0.0000 0.3924  2 Rb 3.64, 6 Bi 3.90-3.98, 3 Tc 3.91-4.00
3 Tc 0.6074 0.0000 0.2644  2 Tc 2.33
4 Tc 0.3926 0.0000 0.7356  2 Tc 2.33
5 Bi 0.3238 0.0000 0.1013  3 Tc 2.90-2.98
6 Rb 0.8222 0.5000 0.1076  2 Rb 3.64, 6 Bi 3.90-3.98, 3 Tc 3.91-4.00
7 Tc 0.3926 0.5000 0.2356  2 Tc 2.33
8 Rb 0.1778 0.5000 0.8924  2 Rb 3.64, 6 Bi 3.90-3.98, 3 Tc 3.91-4.00
9 Rb 0.8222 0.0000 0.6076  2 Rb 3.64, 6 Bi 3.90-3.98, 3 Tc 3.91-4.00
10 Bi 0.6762 0.5000 0.3987  3 Tc 2.90-2.98
11 Tc 0.6074 0.5000 0.7644  2 Tc 2.33
12 Bi 0.6762 0.0000 0.8987  3 Tc 2.90-2.98

Calculated values
ΔH_f (0 K) in kJ/mol of atoms: 32.03
E above lowest polymorph in meV/atom: 192.1



Density functional theory data (PBE-GGA) for RbTcBi after structural relaxation.

a b c (Å): 3.6904 7.1651 8.3061
angles (deg): 76.66 89.08 75.30
With the nearest neighbours (Å) after each atom.
Fractional positions:
1 Tc 0.8798 0.2247 0.5223  2 Tc 2.33-2.34
2 Tc 0.3194 0.3611 0.3628  2 Tc 2.33-2.34
3 Rb 0.6681 0.7942 0.9434  2 Rb 3.69, 4 Bi 3.96-4.08
4 Rb 0.5979 0.7928 0.4434  2 Rb 3.69, 6 Tc 3.70-3.84, 4 Bi 3.81-3.84
5 Bi 0.3025 0.3677 0.7360  3 Tc 2.89-3.11
6 Bi 0.9020 0.2171 0.1496  3 Tc 2.88-3.11

Calculated values
ΔH_f (0 K) in kJ/mol of atoms: 37.58
E above lowest polymorph in meV/atom: 249.7



Density functional theory data (PBE-GGA) for RbTc3Bi after structural relaxation.

a b c (Å): 4.8833 4.8833 4.8833
angles (deg): 90.00 90.00 90.00
With the nearest neighbours (Å) after each atom.
Fractional positions:
1 Tc 0.0000 0.0000 0.5000  2 Rb 2.44
2 Rb 0.0000 0.0000 0.0000  6 Tc 2.44
3 Tc 0.5000 0.0000 0.0000  2 Rb 2.44
4 Tc 0.0000 0.5000 0.0000  2 Rb 2.44
5 Bi 0.5000 0.5000 0.5000  12 Tc 3.45

Calculated values
ΔH_f (0 K) in kJ/mol of atoms: 290.23
E above lowest polymorph in meV/atom: 897.7



Density functional theory data (PBE-GGA) for RbTcBi3 after structural relaxation.

a b c (Å): 5.8952 5.8952 5.8952
angles (deg): 90.00 90.00 90.00
With the nearest neighbours (Å) after each atom.
Fractional positions:
1 Bi 0.0000 0.0000 0.5000  2 Rb 2.95
2 Rb 0.0000 0.0000 0.0000  6 Bi 2.95
3 Bi 0.5000 0.0000 0.0000  2 Rb 2.95
4 Bi 0.0000 0.5000 0.0000  2 Rb 2.95
5 Tc 0.5000 0.5000 0.5000  12 Bi 4.17

Calculated values
ΔH_f (0 K) in kJ/mol of atoms: 226.16
E above lowest polymorph in meV/atom: 2022.6



Density functional theory data (PBE-GGA) for RbTcBi after structural relaxation.

a b c (Å): 4.0358 4.1723 12.8224
angles (deg): 90.31 93.65 89.99
With the nearest neighbours (Å) after each atom.
Fractional positions:
1 Bi 0.8316 0.2474 0.3515  4 Tc 2.73-2.90
2 Rb 0.2872 0.7444 0.1746  4 Bi 3.66-3.70, 2 Rb 4.04
3 Bi 0.1684 0.7526 0.6485  4 Tc 2.73-2.90
4 Tc 0.3356 0.2502 0.5040  2 Tc 2.48, 1 Bi 2.73
5 Rb 0.7128 0.2556 0.8254  4 Bi 3.66-3.70, 2 Rb 4.04
6 Tc 0.6644 0.7498 0.4960  2 Tc 2.48, 1 Bi 2.73

Calculated values
ΔH_f (0 K) in kJ/mol of atoms: 16.33
E above lowest polymorph in meV/atom: 29.4